No. 1
CsKAuF6 | Alexandria | PBE | relaxed; space group = No. 1; crystal system = triclinic; ΔE_f (raw) = -1.86 eV/atom; E = -3.69 eV/atom
1.0
5.077 0.000 0.000
-0.006 6.062 0.000
-0.032 -3.023 5.560
Cs K Au F
1 1 1 6
direct
0.000 0.000 0.000 Cs
0.472 0.654 0.307 K
0.692 0.327 0.654 Au
0.471 0.162 0.795 F
0.471 0.632 0.791 F
0.481 0.152 0.309 F
0.897 0.504 0.007 F
0.909 0.018 0.512 F
0.910 0.492 0.510 F


No. 2
Cs6KAu2F | Alexandria | PBE | relaxed; space group = No. 1; crystal system = triclinic; ΔE_f (raw) = -0.63 eV/atom; E = -2.09 eV/atom; Fermi-level density of states = 5.1 states/eV per cell
1.0
9.021 0.000 0.000
4.505 7.818 0.000
4.501 2.609 8.472
Cs K Au F
6 1 2 1
direct
0.000 0.000 0.000 Cs
0.026 0.225 0.420 Cs
0.206 0.614 0.420 Cs
0.411 0.465 0.000 Cs
0.636 0.794 0.420 Cs
0.877 0.589 0.999 Cs
0.524 0.112 0.715 K
0.199 0.788 0.691 Au
0.661 0.250 0.303 Au
0.025 0.613 0.213 F


No. 3
CsLaAuF2 | Alexandria | PBE | relaxed; space group = No. 123; crystal system = tetragonal; ΔE_f (raw) = -2.29 eV/atom; E = -4.85 eV/atom; Fermi-level density of states = 2.8 states/eV per cell
1.0
4.795 0.000 0.000
0.000 4.795 0.000
0.000 0.000 6.311
Cs La Au F
1 1 1 2
direct
0.000 0.000 0.000 Cs
0.500 0.500 0.500 La
0.500 0.500 0.000 Au
0.000 0.500 0.500 F
0.500 0.000 0.500 F


No. 4
CsLiAuF6 | Alexandria | PBE | relaxed; space group = No. 5; crystal system = monoclinic; ΔE_f (raw) = -1.86 eV/atom; E = -3.78 eV/atom
1.0
2.803 -4.696 0.000
2.803 4.696 0.000
-0.079 0.000 6.604
Cs Li Au F
1 1 1 6
direct
0.000 0.000 0.000 Cs
0.320 0.680 0.500 Li
0.665 0.335 0.500 Au
0.012 0.627 0.314 F
0.373 0.988 0.686 F
0.374 0.359 0.334 F
0.641 0.626 0.666 F
0.642 0.022 0.334 F
0.978 0.358 0.666 F


No. 5
CsLiAu2F8 | Alexandria | PBE | relaxed; space group = No. 148; crystal system = trigonal; ΔE_f (raw) = -1.39 eV/atom; E = -3.42 eV/atom; Fermi-level density of states = 8.7 states/eV per cell
1.0
2.819 1.628 7.334
-2.819 1.628 7.334
0.000 -3.255 7.334
Cs Li Au F
1 1 2 8
direct
0.000 0.000 0.000 Cs
0.500 0.500 0.500 Li
0.206 0.206 0.206 Au
0.794 0.794 0.794 Au
0.166 0.388 0.814 F
0.186 0.834 0.612 F
0.296 0.296 0.296 F
0.388 0.814 0.166 F
0.612 0.186 0.834 F
0.704 0.704 0.704 F
0.814 0.166 0.388 F
0.834 0.612 0.186 F


No. 6
CsMgAu2F8 | Alexandria | PBE | relaxed; space group = No. 147; crystal system = trigonal; ΔE_f (raw) = -1.69 eV/atom; E = -3.69 eV/atom; Fermi-level density of states = 5.4 states/eV per cell
1.0
5.592 0.000 0.000
-2.796 4.843 0.000
0.000 0.000 7.726
Cs Mg Au F
1 1 2 8
direct
0.000 0.000 0.000 Cs
0.000 0.000 0.500 Mg
0.333 0.667 0.623 Au
0.667 0.333 0.377 Au
0.072 0.739 0.363 F
0.261 0.333 0.363 F
0.333 0.072 0.637 F
0.333 0.667 0.880 F
0.667 0.333 0.120 F
0.667 0.928 0.363 F
0.739 0.667 0.637 F
0.928 0.261 0.637 F


No. 7
CsAuNF2 | Alexandria | PBE | relaxed; space group = No. 123; crystal system = tetragonal; ΔE_f (raw) = -0.65 eV/atom; E = -3.89 eV/atom; Fermi-level density of states = 2.5 states/eV per cell; energy relative to the lowest polymorph listed for this composition = 0.00 eV/f.u.
1.0
5.016 0.000 0.000
0.000 5.016 0.000
0.000 0.000 3.776
Cs Au N F
1 1 1 2
direct
0.000 0.000 0.000 Cs
0.500 0.500 0.500 Au
0.500 0.500 0.000 N
0.000 0.500 0.500 F
0.500 0.000 0.500 F


No. 8
CsAuNF2 | Alexandria | PBE | relaxed; space group = No. 123; crystal system = tetragonal; ΔE_f (raw) = 0.64 eV/atom; E = -2.60 eV/atom; Fermi-level density of states = 4.7 states/eV per cell; energy relative to the lowest polymorph listed for this composition = 6.41 eV/f.u.
1.0
5.300 0.000 0.000
0.000 5.300 0.000
0.000 0.000 4.932
Cs Au N F
1 1 1 2
direct
0.000 0.000 0.000 Cs
0.500 0.500 0.500 Au
0.000 0.000 0.500 N
0.000 0.500 0.000 F
0.500 0.000 0.000 F


No. 9
CsNa2AuF | Alexandria | PBE | relaxed; space group = No. 123; crystal system = tetragonal; ΔE_f (raw) = -1.07 eV/atom; E = -2.80 eV/atom; Fermi-level density of states = 1.7 states/eV per cell
1.0
4.870 0.000 0.000
0.000 4.870 0.000
0.000 0.000 5.901
Cs Na Au F
1 2 1 1
direct
0.000 0.000 0.000 Cs
0.000 0.500 0.500 Na
0.500 0.000 0.500 Na
0.500 0.500 0.000 Au
0.000 0.000 0.500 F


No. 10
Cs4NaAuF | Alexandria | PBE | relaxed; space group = No. 11; crystal system = monoclinic; ΔE_f (raw) = -0.82 eV/atom; E = -2.23 eV/atom; Fermi-level density of states = 9.4 states/eV per cell
1.0
8.121 0.000 0.000
0.000 9.033 0.000
-3.244 0.000 11.336
Cs Na Au F
8 2 2 2
direct
0.135 0.250 0.046 Cs
0.207 0.750 0.343 Cs
0.320 0.004 0.776 Cs
0.320 0.496 0.776 Cs
0.680 0.504 0.224 Cs
0.680 0.996 0.224 Cs
0.793 0.250 0.657 Cs
0.865 0.750 0.954 Cs
0.207 0.250 0.424 Na
0.793 0.750 0.576 Na
0.332 0.750 0.037 Au
0.668 0.250 0.963 Au
0.126 0.250 0.809 F
0.874 0.750 0.191 F